Entry 1:
Computed, not measured: a geometry-optimized Tb3Pr12Mg structure at the PBE level of DFT.

The magnetization comes out at 0.00 μB per cell. The density of states at the Fermi level comes out at 22.53 states/eV/cell. The formation energy is 0.008 eV/atom. For the density, the calculation gives 6.58 Mg/m³.

Cell lengths 5.1618, 5.1618, 20.7580 Å; angles 90.00, 90.00, 90.00 degrees
Space group P4/mmm (No. 123)
Unique sites:
Tb1 0.0000 0.0000 0.0000 x1
Tb2 0.0000 0.0000 0.2521 x2
Pr1 0.0000 0.5000 0.1260 x4
Pr2 0.0000 0.5000 0.3771 x4
Pr3 0.5000 0.5000 0.0000 x1
Pr4 0.5000 0.5000 0.2529 x2
Pr5 0.5000 0.5000 0.5000 x1
Mg1 0.0000 0.0000 0.5000 x1

Entry 2:
Computed, not measured: a geometry-optimized Tb8Pr3Mg structure at the PBE level of DFT.

The magnetization comes out at 0.02 μB per cell. The density of states at the Fermi level comes out at 35.83 states/eV/cell. The formation energy is 0.563 eV/atom. For the density, the calculation gives 6.66 Mg/m³.

Cell lengths 8.7111, 8.7111, 11.2843 Å; angles 90.00, 90.00, 90.00 degrees
Space group I-42m (No. 121)
Unique sites:
Tb1 0.1261 0.1261 0.2540 x8
Tb2 0.2418 0.2418 0.5078 x8
Pr1 0.0000 0.0000 0.0000 x2
Pr2 0.0000 0.5000 0.2500 x4
Mg1 0.0000 0.0000 0.5000 x2

Entry 3:
Computed, not measured: a geometry-optimized Tb9Pr2Mg structure at the PBE level of DFT.

The magnetization comes out at 0.00 μB per cell. The density of states at the Fermi level comes out at 17.19 states/eV/cell. The formation energy is 0.024 eV/atom. For the density, the calculation gives 7.51 Mg/m³.

Cell lengths 5.0364, 5.0364, 15.1388 Å; angles 90.00, 90.00, 90.00 degrees
Space group P4/mmm (No. 123)
Unique sites:
Tb1 0.0000 0.0000 0.0000 x1
Tb2 0.0000 0.0000 0.3282 x2
Tb3 0.0000 0.5000 0.1621 x4
Tb4 0.0000 0.5000 0.5000 x2
Pr1 0.5000 0.5000 0.3304 x2
Mg1 0.5000 0.5000 0.0000 x1

Entry 4:
Computed, not measured: a geometry-optimized Tb2Pr6Mg structure at the PBE level of DFT.

The magnetization comes out at 0.00 μB per cell. The energy above the lowest structure with this stoichiometry is 0 meV per atom. The density of states at the Fermi level comes out at 26.44 states/eV/cell. The formation energy is 0.021 eV/atom. For the density, the calculation gives 6.44 Mg/m³.

Cell lengths 10.8608, 10.8608, 5.1886 Å; angles 90.00, 90.00, 90.00 degrees
Space group P4_2/mnm (No. 136)
Unique sites:
Tb1 0.1698 0.1698 0.0000 x4
Pr1 0.0021 0.3309 0.5000 x8
Pr2 0.1613 0.8387 0.0000 x4
Mg1 0.0000 0.0000 0.5000 x2